1.
Material: CaSb2IrW
Method: DFT, PBE
State: optimized geometry

Summary:
**Raw formation energy**: 2395.4 meV/atom
**SG**: P4/mmm

abc: 5.2926 5.2926 4.6273
angles: 90.00 90.00 90.00
Closest atoms and distances in Å follow each position.
Element x y z (fractional)
Ca 0.0000 0.0000 0.0000  2 W 2.31
Sb 0.0000 0.5000 0.0000  2 Ca 2.65
Sb 0.5000 0.0000 0.0000  2 Ca 2.65
Ir 0.5000 0.5000 0.5000  8 Sb 3.52, 4 W 3.74
W 0.0000 0.0000 0.5000  2 Ca 2.31



2.
Material: Ca2ScIr
Method: DFT, PBE
State: optimized geometry

Summary:
**Formation enthalpy at 0 K**: 17 kJ per mole of atoms
**SG**: R-3m

abc: 3.4072 3.4072 31.0980
angles: 90.00 90.00 120.00
Closest atoms and distances in Å follow each position.
Element x y z (fractional)
Ca 0.0000 0.0000 0.2334  3 Ir 2.86
Ca 0.0000 0.0000 0.7666  3 Ir 2.86
Ca 0.3333 0.6667 0.4333  3 Ir 2.86
Ca 0.3333 0.6667 0.9000  3 Ir 2.86
Ca 0.6667 0.3333 0.1000  3 Ir 2.86
Ca 0.6667 0.3333 0.5667  3 Ir 2.86
Sc 0.0000 0.0000 0.0000  6 Sc 3.41, 6 Ca 3.68
Sc 0.3333 0.6667 0.6667  6 Sc 3.41, 6 Ca 3.68
Sc 0.6667 0.3333 0.3333  6 Sc 3.41, 6 Ca 3.68
Ir 0.0000 0.0000 0.5000  6 Ca 2.86
Ir 0.3333 0.6667 0.1667  6 Ca 2.86
Ir 0.6667 0.3333 0.8333  6 Ca 2.86



3.
Material: CaScIr2
Method: DFT, PBE
State: optimized geometry

Summary:
**Formation enthalpy at 0 K**: -20 kJ per mole of atoms
**SG**: Pmm2

abc: 2.9662 4.4682 5.7005
angles: 90.00 90.00 90.00
Closest atoms and distances in Å follow each position.
Element x y z (fractional)
Ca 0.0000 0.0000 0.0000  6 Ir 2.83-2.88, 2 Ca 2.97
Sc 0.5000 0.5000 0.6406  5 Ir 2.59-2.81
Ir 0.0000 0.0000 0.4961  4 Sc 2.81, 2 Ca 2.83-2.87, 2 Ir 2.97
Ir 0.5000 0.5000 0.1856  1 Sc 2.59, 4 Ca 2.88



4.
Material: Ca2ScIr
Method: DFT, PBE
State: optimized geometry

Summary:
**Formation enthalpy at 0 K**: -22 kJ per mole of atoms
**SG**: R3m

abc: 3.9675 3.9675 27.4717
angles: 90.00 90.00 120.00
Closest atoms and distances in Å follow each position.
Element x y z (fractional)
Ca 0.0000 0.0000 0.0000  3 Sc 3.71, 9 Ca 3.97-4.05
Ca 0.0000 0.0000 0.2116  3 Ir 2.87
Ca 0.3333 0.6667 0.6667  3 Sc 3.71, 9 Ca 3.97-4.05
Ca 0.3333 0.6667 0.8783  3 Ir 2.87
Ca 0.6667 0.3333 0.3333  3 Sc 3.71, 9 Ca 3.97-4.05
Ca 0.6667 0.3333 0.5450  3 Ir 2.87
Sc 0.0000 0.0000 0.7730  3 Ir 2.57
Sc 0.3333 0.6667 0.4396  3 Ir 2.57
Sc 0.6667 0.3333 0.1063  3 Ir 2.57
Ir 0.0000 0.0000 0.4819  3 Sc 2.57, 3 Ca 2.87
Ir 0.3333 0.6667 0.1486  3 Sc 2.57, 3 Ca 2.87
Ir 0.6667 0.3333 0.8152  3 Sc 2.57, 3 Ca 2.87



5.
Material: CaSc3Ir
Method: DFT, PBE
State: optimized geometry

Summary:
**Formation enthalpy at 0 K**: 136 kJ per mole of atoms
**SG**: Pm-3m

abc: 4.7035 4.7035 4.7035
angles: 90.00 90.00 90.00
Closest atoms and distances in Å follow each position.
Element x y z (fractional)
Ca 0.0000 0.0000 0.0000  6 Sc 2.35
Sc 0.0000 0.0000 0.5000  2 Ca 2.35
Sc 0.0000 0.5000 0.0000  2 Ca 2.35
Sc 0.5000 0.0000 0.0000  2 Ca 2.35
Ir 0.5000 0.5000 0.5000  12 Sc 3.33



6.
Material: CaScIr2
Method: DFT, PBE
State: optimized geometry

Summary:
**Formation enthalpy at 0 K**: -22 kJ per mole of atoms
**SG**: C2/m

abc: 8.3809 3.1038 6.3249
angles: 90.00 100.47 90.00
Closest atoms and distances in Å follow each position.
Element x y z (fractional)
Ca 0.0000 0.0000 0.0000  6 Ir 3.07-3.08, 2 Ca 3.10
Ca 0.5000 0.5000 0.0000  6 Ir 3.07-3.08, 2 Ca 3.10
Sc 0.0000 0.5000 0.5000  6 Ir 2.65-2.66
Sc 0.5000 0.0000 0.5000  6 Ir 2.65-2.66
Ir 0.2425 0.0000 0.6885  3 Sc 2.65-2.66, 2 Ir 2.87
Ir 0.2575 0.5000 0.3115  3 Sc 2.65-2.66, 2 Ir 2.87
Ir 0.7425 0.5000 0.6885  3 Sc 2.65-2.66, 2 Ir 2.87
Ir 0.7575 0.0000 0.3115  3 Sc 2.65-2.66, 2 Ir 2.87